Below is an optimized crystal structure of CsTmMo2O8, with properties calculated at the PBE with a Hubbard U level.

Unit cell a=7.587 b=7.587 c=7.764 alpha=118.09 beta=118.09 gamma=87.67
Atoms (fractional coordinates):
1 Cs 0.192 0.808 0.750
2 Cs 0.808 0.192 0.250
3 Tm 0.226 0.774 0.250
4 Tm 0.774 0.226 0.750
5 Mo 0.306 0.308 0.271
6 Mo 0.308 0.306 0.771
7 Mo 0.692 0.694 0.229
8 Mo 0.694 0.692 0.729
9 O 0.053 0.226 0.711
10 O 0.061 0.366 0.118
11 O 0.226 0.053 0.211
12 O 0.244 0.387 0.571
13 O 0.366 0.061 0.618
14 O 0.372 0.592 0.041
15 O 0.387 0.244 0.071
16 O 0.408 0.628 0.459
17 O 0.592 0.372 0.541
18 O 0.613 0.756 0.929
19 O 0.628 0.408 0.959
20 O 0.634 0.939 0.382
21 O 0.756 0.613 0.429
22 O 0.774 0.947 0.789
23 O 0.939 0.634 0.882
24 O 0.947 0.774 0.289

## Properties
**Final energy**: -7.063 eV per atom